GGA-PBE LiC2O, optimized geometry; crystal system = orthorhombic; E_form (uncorrected) = -0.2324 eV/atom; density = 2.304 Mg/m³; spin magnetization = 0.246 μB/f.u.
1.0
2.5465 0.0000 0.0000
0.0000 2.6822 0.0000
0.0000 0.0000 4.9551
Li C O
1 2 1
direct
0.0000 0.0000 0.0000
0.0000 0.5000 0.4010
0.5000 0.5000 0.5479
0.5000 0.5000 0.8122